DFT (PBE) results for TlRe2Se after structural relaxation.

The structure in CIF format:
```
data_TlRe2Se
_symmetry_space_group_name_H-M 'P 1'
_symmetry_Int_Tables_number 1
_cell_length_a 2.9891
_cell_length_b 5.1558
_cell_length_c 9.1834
_cell_angle_alpha 90.00
_cell_angle_beta 90.00
_cell_angle_gamma 90.00
loop_
_symmetry_equiv_pos_as_xyz
'x,y,z'
loop_
_atom_site_label
_atom_site_type_symbol
_atom_site_fract_x
_atom_site_fract_y
_atom_site_fract_z
Tl1 Tl 0.0000 0.0000 0.0000
Tl2 Tl 0.5000 0.5000 0.5000
Re1 Re 0.0000 0.5000 0.2196
Re2 Re 0.0000 0.5000 0.7804
Re3 Re 0.5000 0.0000 0.2804
Re4 Re 0.5000 0.0000 0.7196
Se1 Se 0.0000 0.0000 0.5000
Se2 Se 0.5000 0.5000 0.0000
```

Properties
Fermi-level density of states	3.3	states/eV/f.u.
total moment	0.00	μB per formula unit
crystal system	orthorhombic
total DFT energy (no corrections)	-53.4	eV per cell
formation energy from raw total energies	1.012	eV per atom
energy above the lowest structure with this stoichiometry	2.52	eV/f.u.